Material: Sc2Ta4N9
Method: DFT, PBE
State: relaxed

Structure (POSCAR):
```
Sc2Ta4N9
1.0
5.352 0.000 0.012
2.675 4.635 0.030
-0.030 -0.074 14.586
Sc Ta N
4 8 18
Cartesian
5.340 -0.026 5.214
5.347 -0.010 2.103
2.658 4.586 9.414
2.651 4.570 12.524
2.647 1.472 14.280
2.661 1.510 6.987
5.351 3.089 0.348
2.669 1.533 2.798
5.337 3.051 7.641
5.340 3.069 4.536
2.658 1.492 10.091
5.329 3.028 11.829
0.834 1.426 10.948
3.510 3.098 10.963
6.296 4.579 10.978
7.164 3.135 3.679
4.488 1.463 3.665
1.702 -0.018 3.650
6.014 4.502 6.101
6.250 1.752 6.088
3.752 2.924 6.087
3.349 0.096 1.237
3.584 2.846 1.252
1.086 1.675 1.240
1.984 0.059 8.527
1.748 2.809 8.540
4.246 1.637 8.540
4.649 4.464 13.391
4.414 1.715 13.376
6.912 2.886 13.388
```

Calculated values
D(E_F)   22.1 states/eV per cell
Crystal system   trigonal
Formation energy (no corrections)   -1083.8 meV/atom

Material: ScTa3N6
Method: DFT, PBE
State: relaxed

Structure (POSCAR):
```
ScTa3N6
1.0
-1.035 2.927 0.285
-7.744 -2.930 1.974
4.617 0.905 7.461
Sc Ta N
2 6 12
Cartesian
1.788 2.591 5.455
-5.950 -1.689 4.265
-0.655 1.547 7.307
-3.508 -0.645 2.413
-3.713 0.648 5.432
-0.449 0.254 4.288
-1.693 1.784 1.112
-2.470 -0.882 8.609
-1.643 1.371 5.531
-2.520 -0.469 4.189
-7.498 -0.429 2.760
3.336 1.331 6.961
-3.637 1.084 1.240
-0.525 -0.182 8.480
-5.004 0.368 3.628
0.842 0.534 6.092
0.335 2.240 3.779
-4.497 -1.339 5.942
-3.023 0.696 7.446
-1.139 0.206 2.274
```

Calculated values
D(E_F)   0.0 states/eV per cell
Crystal system   monoclinic
Formation energy (no corrections)   -1112.7 meV/atom

Material: Sc2TaN
Method: DFT, PBE
State: relaxed

Structure (POSCAR):
```
Sc2TaN
1.0
6.243 0.000 0.000
0.000 6.243 0.000
3.122 3.122 4.065
Sc N Ta
4 2 2
Cartesian
3.888 1.561 1.016
2.355 4.682 1.016
4.682 5.477 3.049
7.804 7.009 3.049
3.122 3.122 0.000
3.122 6.243 2.033
0.000 0.000 0.000
6.243 3.122 2.033
```

Calculated values
D(E_F)   6.7 states/eV per cell
Crystal system   tetragonal
Formation energy (no corrections)   8.5 meV/atom

Material: ScTaN3
Method: DFT, PBE
State: relaxed

Structure (POSCAR):
```
ScTaN3
1.0
-3.152 0.148 -2.463
-1.971 -2.556 2.368
-1.485 3.077 2.085
Sc N Ta
1 3 1
Cartesian
-3.304 0.335 0.995
-0.985 -1.278 1.184
-0.743 1.539 1.043
-1.576 0.074 -1.232
0.000 0.000 0.000
```

Calculated values
D(E_F)   3.2 states/eV per cell
Crystal system   cubic
Formation energy (no corrections)   -499.9 meV/atom